1.
# BiRh3Pb

BiRh3Pb after structural relaxation (PBE, the Alexandria database).

Properties
The value obtained for the total energy is -4.977 eV per atom. The calculation puts the energy above the most stable polymorph in this dataset at 0.00 eV/f.u. The calculation puts the mass density at 9.6 g cm⁻³. As for the formation energy: 0.951 eV/atom.

Lattice parameters (Å, degrees): 5.011 5.011 5.011 90.00 90.00 90.00
Space group Pm-3m (No. 221)
Symmetry-distinct sites (fractional):
Bi  0.000  0.000  0.000 (multiplicity 1)
Rh  0.000  0.000  0.500 (multiplicity 3)
Pb  0.500  0.500  0.500 (multiplicity 1)



2.
# Y3In

Y3In after structural relaxation (PBE, the Alexandria database).

Properties
The value obtained for the total energy is -5.782 eV per atom. The calculation puts the mass density at 5.3 g cm⁻³. As for the formation energy: -0.250 eV/atom.

Lattice parameters (Å, degrees): 3.606 3.606 9.213 90.00 90.00 90.00
Space group P4/mmm (No. 123)
Symmetry-distinct sites (fractional):
Y  0.000  0.000  0.000 (multiplicity 1)
Y  0.500  0.500  0.276 (multiplicity 2)
In  0.000  0.000  0.500 (multiplicity 1)